# 1
Compound: LiSb2As
Source: Alexandria via LeMat-Bulk
Functional: PBE-GGA
Structure: optimized geometry

```
data_LiSb2As
_space_group_name_H-M_alt 'P 1'
_space_group_IT_number 1
_cell_length_a 6.461
_cell_length_b 6.461
_cell_length_c 11.673
_cell_angle_alpha 90.00
_cell_angle_beta 90.00
_cell_angle_gamma 90.00
loop_
_space_group_symop_operation_xyz
'x,y,z'
loop_
_atom_site_label
_atom_site_type_symbol
_atom_site_fract_x
_atom_site_fract_y
_atom_site_fract_z
Li1 Li 0.000 0.000 0.000
Li2 Li 0.000 0.500 0.250
Li3 Li 0.500 0.000 0.750
Li4 Li 0.500 0.500 0.500
Sb1 Sb 0.243 0.250 0.625
Sb2 Sb 0.250 0.743 0.875
Sb3 Sb 0.250 0.757 0.375
Sb4 Sb 0.257 0.250 0.125
Sb5 Sb 0.743 0.750 0.125
Sb6 Sb 0.750 0.243 0.375
Sb7 Sb 0.750 0.257 0.875
Sb8 Sb 0.757 0.750 0.625
As1 As 0.000 0.000 0.500
As2 As 0.000 0.500 0.750
As3 As 0.500 0.000 0.250
As4 As 0.500 0.500 0.000
```

Results
- formation energy without anion corrections (meV/atom) = 7
- calculated volume (Å³/cell) = 487

=====

# 2
Compound: ErPuZrO6
Source: Alexandria via LeMat-Bulk
Functional: PBE-GGA
Structure: optimized geometry

```
data_ErPuZrO6
_space_group_name_H-M_alt 'P 1'
_space_group_IT_number 1
_cell_length_a 5.608
_cell_length_b 5.608
_cell_length_c 9.440
_cell_angle_alpha 90.00
_cell_angle_beta 90.00
_cell_angle_gamma 120.00
loop_
_space_group_symop_operation_xyz
'x,y,z'
loop_
_atom_site_label
_atom_site_type_symbol
_atom_site_fract_x
_atom_site_fract_y
_atom_site_fract_z
Er1 Er 0.000 0.000 0.000
Er2 Er 0.000 0.000 0.500
Pu1 Pu 0.333 0.667 0.250
Pu2 Pu 0.667 0.333 0.750
Zr1 Zr 0.333 0.667 0.750
Zr2 Zr 0.667 0.333 0.250
O1 O 0.002 0.346 0.634
O2 O 0.002 0.656 0.866
O3 O 0.344 0.346 0.866
O4 O 0.344 0.998 0.634
O5 O 0.346 0.002 0.134
O6 O 0.346 0.344 0.366
O7 O 0.654 0.656 0.634
O8 O 0.654 0.998 0.866
O9 O 0.656 0.002 0.366
O10 O 0.656 0.654 0.134
O11 O 0.998 0.344 0.134
O12 O 0.998 0.654 0.366
```

Results
- formation energy without anion corrections (meV/atom) = -3112
- calculated volume (Å³/cell) = 257

=====

# 3
Compound: CoBSCl2
Source: Alexandria via LeMat-Bulk
Functional: PBE-GGA
Structure: optimized geometry

```
data_CoBSCl2
_space_group_name_H-M_alt 'P 1'
_space_group_IT_number 1
_cell_length_a 4.212
_cell_length_b 4.212
_cell_length_c 4.483
_cell_angle_alpha 90.00
_cell_angle_beta 90.00
_cell_angle_gamma 90.00
loop_
_space_group_symop_operation_xyz
'x,y,z'
loop_
_atom_site_label
_atom_site_type_symbol
_atom_site_fract_x
_atom_site_fract_y
_atom_site_fract_z
Co1 Co 0.000 0.000 0.000
B1 B 0.500 0.500 0.500
S1 S 0.500 0.500 0.000
Cl1 Cl 0.000 0.500 0.500
Cl2 Cl 0.500 0.000 0.500
```

Results
- formation energy without anion corrections (meV/atom) = 795
- calculated volume (Å³/cell) = 80

=====

# 4
Compound: CePm2Co2
Source: Alexandria via LeMat-Bulk
Functional: PBE-GGA
Structure: optimized geometry

```
data_CePm2Co2
_space_group_name_H-M_alt 'P 1'
_space_group_IT_number 1
_cell_length_a 6.080
_cell_length_b 6.080
_cell_length_c 7.012
_cell_angle_alpha 97.10
_cell_angle_beta 97.10
_cell_angle_gamma 61.75
loop_
_space_group_symop_operation_xyz
'x,y,z'
loop_
_atom_site_label
_atom_site_type_symbol
_atom_site_fract_x
_atom_site_fract_y
_atom_site_fract_z
Ce1 Ce 0.080 0.920 0.750
Ce2 Ce 0.920 0.080 0.250
Pm1 Pm 0.239 0.456 0.353
Pm2 Pm 0.456 0.239 0.853
Pm3 Pm 0.544 0.761 0.147
Pm4 Pm 0.761 0.544 0.647
Co1 Co 0.001 0.696 0.979
Co2 Co 0.304 0.999 0.521
Co3 Co 0.696 0.001 0.479
Co4 Co 0.999 0.304 0.021
```

Results
- E_form (eV/f.u.) = -0.87
- calculated volume (Å³/cell) = 226

=====

# 5
Compound: Al3ZnIn
Source: Alexandria via LeMat-Bulk
Functional: PBE-GGA
Structure: optimized geometry

```
data_Al3ZnIn
_space_group_name_H-M_alt 'P 1'
_space_group_IT_number 1
_cell_length_a 4.825
_cell_length_b 4.825
_cell_length_c 4.825
_cell_angle_alpha 90.00
_cell_angle_beta 90.00
_cell_angle_gamma 90.00
loop_
_space_group_symop_operation_xyz
'x,y,z'
loop_
_atom_site_label
_atom_site_type_symbol
_atom_site_fract_x
_atom_site_fract_y
_atom_site_fract_z
Al1 Al 0.000 0.000 0.500
Al2 Al 0.000 0.500 0.000
Al3 Al 0.500 0.000 0.000
Zn1 Zn 0.000 0.000 0.000
In1 In 0.500 0.500 0.500
```

Results
- E_form (eV/f.u.) = 2.18
- calculated volume (Å³/cell) = 112

=====

# 6
Compound: Tm5Ag2Pb5
Source: Alexandria via LeMat-Bulk
Functional: PBE-GGA
Structure: optimized geometry

```
data_Tm5Ag2Pb5
_space_group_name_H-M_alt 'P 1'
_space_group_IT_number 1
_cell_length_a 8.589
_cell_length_b 8.589
_cell_length_c 10.343
_cell_angle_alpha 126.67
_cell_angle_beta 126.67
_cell_angle_gamma 31.72
loop_
_space_group_symop_operation_xyz
'x,y,z'
loop_
_atom_site_label
_atom_site_type_symbol
_atom_site_fract_x
_atom_site_fract_y
_atom_site_fract_z
Tm1 Tm 0.000 0.000 0.000
Tm2 Tm 0.104 0.104 0.788
Tm3 Tm 0.183 0.183 0.537
Tm4 Tm 0.817 0.817 0.463
Tm5 Tm 0.896 0.896 0.212
Ag1 Ag 0.353 0.353 0.983
Ag2 Ag 0.647 0.647 0.017
Pb1 Pb 0.254 0.254 0.204
Pb2 Pb 0.429 0.429 0.736
Pb3 Pb 0.500 0.500 0.500
Pb4 Pb 0.571 0.571 0.264
Pb5 Pb 0.746 0.746 0.796
```

Results
- E_form (eV/f.u.) = -4.07
- calculated volume (Å³/cell) = 315

=====

# 7
Compound: AlRe2Cl
Source: Alexandria via LeMat-Bulk
Functional: PBE-GGA
Structure: optimized geometry

```
data_AlRe2Cl
_space_group_name_H-M_alt 'P 1'
_space_group_IT_number 1
_cell_length_a 9.376
_cell_length_b 2.838
_cell_length_c 4.831
_cell_angle_alpha 90.00
_cell_angle_beta 93.36
_cell_angle_gamma 90.00
loop_
_space_group_symop_operation_xyz
'x,y,z'
loop_
_atom_site_label
_atom_site_type_symbol
_atom_site_fract_x
_atom_site_fract_y
_atom_site_fract_z
Al1 Al 0.000 0.000 0.000
Al2 Al 0.500 0.500 0.000
Re1 Re 0.242 0.500 0.674
Re2 Re 0.480 0.000 0.500
Re3 Re 0.742 0.000 0.674
Re4 Re 0.980 0.500 0.500
Cl1 Cl 0.246 0.000 0.079
Cl2 Cl 0.746 0.500 0.079
```

Results
- formation energy without anion corrections (meV/atom) = 611
- calculated volume (Å³/cell) = 128

=====

# 8
Compound: BaNpAgSe3
Source: Alexandria via LeMat-Bulk
Functional: PBE-GGA
Structure: optimized geometry

```
data_BaNpAgSe3
_space_group_name_H-M_alt 'P 1'
_space_group_IT_number 1
_cell_length_a 8.782
_cell_length_b 4.304
_cell_length_c 9.557
_cell_angle_alpha 90.00
_cell_angle_beta 105.69
_cell_angle_gamma 90.00
loop_
_space_group_symop_operation_xyz
'x,y,z'
loop_
_atom_site_label
_atom_site_type_symbol
_atom_site_fract_x
_atom_site_fract_y
_atom_site_fract_z
Ba1 Ba 0.200 0.250 0.244
Ba2 Ba 0.800 0.750 0.756
Np1 Np 0.325 0.750 0.842
Np2 Np 0.675 0.250 0.158
Ag1 Ag 0.087 0.250 0.588
Ag2 Ag 0.913 0.750 0.412
Se1 Se 0.107 0.250 0.872
Se2 Se 0.248 0.750 0.526
Se3 Se 0.449 0.750 0.157
Se4 Se 0.551 0.250 0.843
Se5 Se 0.752 0.250 0.474
Se6 Se 0.893 0.750 0.128
```

Results
- formation energy without anion corrections (meV/atom) = -1213
- calculated volume (Å³/cell) = 348

=====

# 9
Compound: La2TaBe
Source: Alexandria via LeMat-Bulk
Functional: PBE-GGA
Structure: optimized geometry

```
data_La2TaBe
_space_group_name_H-M_alt 'P 1'
_space_group_IT_number 1
_cell_length_a 4.180
_cell_length_b 4.180
_cell_length_c 21.324
_cell_angle_alpha 90.00
_cell_angle_beta 90.00
_cell_angle_gamma 90.00
loop_
_space_group_symop_operation_xyz
'x,y,z'
loop_
_atom_site_label
_atom_site_type_symbol
_atom_site_fract_x
_atom_site_fract_y
_atom_site_fract_z
La1 La 0.246 0.250 0.125
La2 La 0.250 0.746 0.375
La3 La 0.250 0.754 0.875
La4 La 0.254 0.250 0.625
La5 La 0.746 0.750 0.625
La6 La 0.750 0.246 0.875
La7 La 0.750 0.254 0.375
La8 La 0.754 0.750 0.125
Ta1 Ta 0.000 0.000 0.000
Ta2 Ta 0.000 0.500 0.250
Ta3 Ta 0.500 0.000 0.750
Ta4 Ta 0.500 0.500 0.500
Be1 Be 0.000 0.000 0.500
Be2 Be 0.000 0.500 0.750
Be3 Be 0.500 0.000 0.250
Be4 Be 0.500 0.500 0.000
```

Results
- E_form (eV/f.u.) = 3.94
- calculated volume (Å³/cell) = 373

=====

# 10
Compound: BaNaSr2W
Source: Alexandria via LeMat-Bulk
Functional: PBE-GGA
Structure: optimized geometry

```
data_BaNaSr2W
_space_group_name_H-M_alt 'P 1'
_space_group_IT_number 1
_cell_length_a 6.214
_cell_length_b 6.214
_cell_length_c 6.429
_cell_angle_alpha 90.00
_cell_angle_beta 90.00
_cell_angle_gamma 90.00
loop_
_space_group_symop_operation_xyz
'x,y,z'
loop_
_atom_site_label
_atom_site_type_symbol
_atom_site_fract_x
_atom_site_fract_y
_atom_site_fract_z
Ba1 Ba 0.000 0.000 0.000
Na1 Na 0.000 0.000 0.500
Sr1 Sr 0.000 0.500 0.500
Sr2 Sr 0.500 0.000 0.500
W1 W 0.500 0.500 0.000
```

Results
- E_form (eV/f.u.) = 7.55
- calculated volume (Å³/cell) = 248

=====

# 11
Compound: DyHfOsPt
Source: Alexandria via LeMat-Bulk
Functional: PBE-GGA
Structure: optimized geometry

```
data_DyHfOsPt
_space_group_name_H-M_alt 'P 1'
_space_group_IT_number 1
_cell_length_a 6.730
_cell_length_b 6.730
_cell_length_c 6.730
_cell_angle_alpha 90.00
_cell_angle_beta 90.00
_cell_angle_gamma 90.00
loop_
_space_group_symop_operation_xyz
'x,y,z'
loop_
_atom_site_label
_atom_site_type_symbol
_atom_site_fract_x
_atom_site_fract_y
_atom_site_fract_z
Dy1 Dy 0.000 0.000 0.000
Dy2 Dy 0.000 0.500 0.500
Dy3 Dy 0.500 0.000 0.500
Dy4 Dy 0.500 0.500 0.000
Hf1 Hf 0.000 0.000 0.500
Hf2 Hf 0.000 0.500 0.000
Hf3 Hf 0.500 0.000 0.000
Hf4 Hf 0.500 0.500 0.500
Os1 Os 0.250 0.250 0.750
Os2 Os 0.250 0.750 0.250
Os3 Os 0.750 0.250 0.250
Os4 Os 0.750 0.750 0.750
Pt1 Pt 0.250 0.250 0.250
Pt2 Pt 0.250 0.750 0.750
Pt3 Pt 0.750 0.250 0.750
Pt4 Pt 0.750 0.750 0.250
```

Results
- E_form (eV/f.u.) = -2.74
- calculated volume (Å³/cell) = 305

=====

# 12
Compound: KCuIr2
Source: Alexandria via LeMat-Bulk
Functional: PBE-GGA
Structure: optimized geometry

```
data_KCuIr2
_space_group_name_H-M_alt 'P 1'
_space_group_IT_number 1
_cell_length_a 5.489
_cell_length_b 10.274
_cell_length_c 2.690
_cell_angle_alpha 90.00
_cell_angle_beta 117.54
_cell_angle_gamma 90.00
loop_
_space_group_symop_operation_xyz
'x,y,z'
loop_
_atom_site_label
_atom_site_type_symbol
_atom_site_fract_x
_atom_site_fract_y
_atom_site_fract_z
K1 K 0.000 0.000 0.000
K2 K 0.500 0.500 0.000
Cu1 Cu 0.000 0.500 0.000
Cu2 Cu 0.500 0.000 0.000
Ir1 Ir 0.250 0.250 0.500
Ir2 Ir 0.250 0.750 0.500
Ir3 Ir 0.750 0.250 0.500
Ir4 Ir 0.750 0.750 0.500
```

Results
- E_form (eV/f.u.) = 3.10
- calculated volume (Å³/cell) = 135